Record 1
Compound: CaPdRu2
Source: Alexandria via LeMat-Bulk
Functional: PBE-GGA
Structure: relaxed

Properties
M_tot	0.0	μB/f.u.
calculated formation energy	0.565	eV per atom

Cell lengths 6.4397, 6.4397, 6.4397 Å; angles 90.00, 90.00, 90.00 degrees
Space group Fm-3m (No. 225)
One atom of each set of equivalent atoms:
Ca 0.0000 0.0000 0.0000 [4 per cell]
Pd 0.0000 0.0000 0.5000 [4 per cell]
Ru 0.2500 0.2500 0.2500 [8 per cell]

***

Record 2
Compound: CaPd2Ru
Source: Alexandria via LeMat-Bulk
Functional: PBE-GGA
Structure: relaxed

Properties
M_tot	0.7	μB/f.u.
calculated formation energy	0.352	eV per atom

Cell lengths 4.0817, 4.0817, 18.3884 Å; angles 90.00, 90.00, 90.00 degrees
Space group I-42d (No. 122)
One atom of each set of equivalent atoms:
Ca 0.0000 0.0000 0.0000 [4 per cell]
Pd 0.2213 0.2500 0.6250 [8 per cell]
Ru 0.0000 0.0000 0.5000 [4 per cell]

***

Record 3
Compound: CaPdRu3
Source: Alexandria via LeMat-Bulk
Functional: PBE-GGA
Structure: relaxed

Properties
M_tot	5.3	μB/f.u.
calculated formation energy	1.401	eV per atom

Cell lengths 4.8201, 4.8201, 4.8201 Å; angles 90.00, 90.00, 90.00 degrees
Space group Pm-3m (No. 221)
One atom of each set of equivalent atoms:
Ca 0.0000 0.0000 0.0000 [1 per cell]
Pd 0.5000 0.5000 0.5000 [1 per cell]
Ru 0.0000 0.5000 0.5000 [3 per cell]

***

Record 4
Compound: CaTbPdRu
Source: Alexandria via LeMat-Bulk
Functional: PBE-GGA
Structure: relaxed

Properties
M_tot	0.0	μB/f.u.
calculated formation energy	-0.349	eV per atom

Cell lengths 6.8974, 6.8974, 6.8974 Å; angles 90.00, 90.00, 90.00 degrees
Space group F-43m (No. 216)
One atom of each set of equivalent atoms:
Ca 0.0000 0.0000 0.0000 [4 per cell]
Tb 0.0000 0.0000 0.5000 [4 per cell]
Pd 0.2500 0.2500 0.2500 [4 per cell]
Ru 0.2500 0.2500 0.7500 [4 per cell]